Entry 1:
Density functional theory data (PBE) for a relaxed Nb2ZnGaP crystal.

## Properties
**Energy relative to the elements**: 1.0893 eV/atom

Cell lengths 4.8878, 4.1294, 4.8878 Å; angles 90.00, 90.00, 90.00 degrees
Sites, in units of the cell vectors:
Nb  0.0000  0.0000  0.5000
Nb  0.5000  0.0000  0.0000
Ga  0.5000  0.5000  0.5000
Zn  0.0000  0.0000  0.0000
P  0.0000  0.5000  0.0000

***

Entry 2:
Density functional theory data (PBE) for a relaxed InFeGe2Os crystal.

## Properties
**Energy relative to the elements**: 0.7105 eV/atom

Cell lengths 4.4602, 4.6963, 4.4602 Å; angles 90.00, 90.00, 90.00 degrees
Sites, in units of the cell vectors:
Os  0.0000  0.5000  0.0000
In  0.5000  0.5000  0.5000
Ge  0.0000  0.0000  0.5000
Ge  0.5000  0.0000  0.0000
Fe  0.0000  0.0000  0.0000

***

Entry 3:
Density functional theory data (PBE) for a relaxed La6Ir2Pt crystal.

## Properties
**Energy relative to the elements**: -0.6756 eV/atom

Cell lengths 6.8076, 7.1918, 7.1918 Å; angles 120.00, 90.00, 90.00 degrees
Sites, in units of the cell vectors:
La  0.7353  0.3331  0.0000
La  0.2647  0.3331  0.3331
La  0.2647  0.0000  0.6669
La  0.7353  0.0000  0.3331
La  0.7353  0.6669  0.6669
La  0.2647  0.6669  0.0000
Pt  0.0000  0.0000  0.0000
Ir  0.5000  0.3333  0.6667
Ir  0.5000  0.6667  0.3333

***

Entry 4:
Density functional theory data (PBE) for a relaxed TiMnPOsS crystal.

## Properties
**ΔE_f (raw)**: -0.38 eV/atom
**Relative energy among the computed polymorphs**: 155 meV/atom

Cell lengths 5.3758, 3.6066, 7.5745 Å; angles 90.00, 92.85, 90.00 degrees
Each line ends with the local moment (μB).
Sites, in units of the cell vectors:
Ti  0.7878  0.5000  0.3747  -0.24
Ti  0.7878  0.0000  0.8747  -0.24
Mn  0.4438  0.5000  0.0465  2.55
Mn  0.4438  0.0000  0.5465  2.55
S  0.8573  0.0000  0.5758  0.00
S  0.8573  0.5000  0.0758  0.00
Os  0.1410  0.5000  0.6654  0.06
Os  0.1410  0.0000  0.1654  0.06
P  0.3040  0.0000  0.8576  -0.03
P  0.3040  0.5000  0.3576  -0.03

***

Entry 5:
Density functional theory data (PBE) for a relaxed AlTePtAu2 crystal.

## Properties
**ΔE_f (raw)**: 0.31 eV/atom

Cell lengths 5.1730, 4.6233, 5.1730 Å; angles 90.00, 90.00, 90.00 degrees
Sites, in units of the cell vectors:
Au  0.0000  0.0000  0.5000
Au  0.5000  0.0000  0.0000
Te  0.5000  0.5000  0.5000
Al  0.0000  0.5000  0.0000
Pt  0.0000  0.0000  0.0000

***

Entry 6:
Density functional theory data (PBE) for a relaxed CuSnBi2Se5 crystal.

## Properties
**ΔE_f (raw)**: -0.30 eV/atom

Cell lengths 4.1298, 9.1341, 13.3688 Å; angles 90.00, 90.00, 103.07 degrees
Sites, in units of the cell vectors:
Cu  0.4959  0.9917  0.9862
Cu  0.5041  0.0083  0.4862
Se  0.6315  0.2629  0.5522
Se  0.4953  0.9905  0.3042
Se  0.9484  0.8968  0.5434
Se  0.3685  0.7371  0.0522
Se  0.5047  0.0095  0.8042
Se  0.2961  0.5921  0.6492
Se  0.7039  0.4079  0.1492
Se  0.7221  0.4443  0.8479
Se  0.2779  0.5557  0.3479
Se  0.0516  0.1032  0.0434
Sn  0.2075  0.4150  0.9924
Sn  0.7925  0.5850  0.4924
Bi  0.0983  0.1966  0.2462
Bi  0.8557  0.7115  0.2023
Bi  0.1443  0.2885  0.7023
Bi  0.9017  0.8034  0.7462